1.
La2Ni3As4Ru | PBE | optimized geometry

Its formation energy from the elements is -0.825 eV per atom. Its crystal system is tetragonal.

The space group is P-4m2 (No. 115) and the conventional cell measures 4.249, 4.249 and 9.761 Å, with angles of 90.00, 90.00 and 90.00 degrees. The distinct sites, in fractional coordinates, are La at (0.000, 0.500, 0.245), Ni at (0.000, 0.500, 0.884), Ni at (0.500, 0.500, 0.500), As at (0.000, 0.000, 0.000), As at (0.000, 0.500, 0.636), As at (0.500, 0.500, 0.000) and Ru at (0.000, 0.000, 0.500).

2.
La2NiAsS | PBE | optimized geometry

As for the total energy: -5.7859 eV/atom. Its crystal system is tetragonal.

The space group is P4/mmm (No. 123) and the conventional cell measures 5.474, 5.474 and 4.240 Å, with angles of 90.00, 90.00 and 90.00 degrees. The distinct sites, in fractional coordinates, are La at (0.000, 0.500, 0.000), Ni at (0.000, 0.000, 0.000), As at (0.000, 0.000, 0.500) and S at (0.500, 0.500, 0.500).

3.
La2Ni4SbAs3 | PBE | optimized geometry

As for the total energy: -5.9065 eV/atom. Its crystal system is tetragonal.

The space group is P-4m2 (No. 115) and the conventional cell measures 4.305, 4.305 and 9.772 Å, with angles of 90.00, 90.00 and 90.00 degrees. The distinct sites, in fractional coordinates, are La at (0.000, 0.500, 0.235), Ni at (0.000, 0.000, 0.000), Ni at (0.000, 0.500, 0.631), Ni at (0.500, 0.500, 0.000), Sb at (0.000, 0.000, 0.500), As at (0.000, 0.500, 0.876) and As at (0.500, 0.500, 0.500).

4.
La2Ni4Sb3As | PBE | optimized geometry

As for the total energy: -5.7407 eV/atom. Its crystal system is tetragonal.

The space group is P-4m2 (No. 115) and the conventional cell measures 4.468, 4.468 and 9.911 Å, with angles of 90.00, 90.00 and 90.00 degrees. The distinct sites, in fractional coordinates, are La at (0.000, 0.500, 0.249), Ni at (0.000, 0.000, 0.000), Ni at (0.000, 0.500, 0.613), Ni at (0.500, 0.500, 0.000), Sb at (0.000, 0.500, 0.871), Sb at (0.500, 0.500, 0.500) and As at (0.000, 0.000, 0.500).